Cs2BaCd2Se4 | PBE | optimized geometry

Cell lengths 4.574, 8.773, 9.091 Å; angles 109.58, 104.57, 90.00 degrees
Fractional positions:
1 Cs 0.126 0.549 0.251
2 Cs 0.874 0.451 0.749
3 Ba 0.000 0.000 0.000
4 Cd 0.671 0.972 0.343
5 Cd 0.329 0.028 0.657
6 Se 0.208 0.165 0.415
7 Se 0.792 0.835 0.585
8 Se 0.525 0.755 0.050
9 Se 0.475 0.245 0.950

## Properties
Volume, Å³/cell: 331.2
Formation energy without anion corrections, eV per atom: -1.177
Calculated total energy, eV per formula unit: -29.99

CsBaSr2Cd | PBE | optimized geometry

Cell lengths 6.688, 6.688, 6.830 Å; angles 90.00, 90.00, 90.00 degrees
Fractional positions:
1 Cs 0.500 0.500 0.500
2 Sr 0.000 0.500 0.000
3 Sr 0.500 0.000 0.000
4 Ba 0.000 0.000 0.500
5 Cd 0.000 0.000 0.000

## Properties
Volume, Å³/cell: 305.5
Calculated total energy, eV per formula unit: -7.07
Calculated formation energy, eV/atom: -0.002

Cs2BaTl12Cd3 | PBE | optimized geometry

Cell lengths 12.660, 12.660, 12.660 Å; angles 38.26, 38.26, 38.26 degrees
Fractional positions:
1 Cs 0.651 0.651 0.651
2 Cs 0.349 0.349 0.349
3 Ba 0.000 0.000 0.000
4 Tl 0.413 0.413 0.810
5 Tl 0.940 0.940 0.358
6 Tl 0.358 0.940 0.940
7 Tl 0.810 0.413 0.413
8 Tl 0.940 0.358 0.940
9 Tl 0.413 0.810 0.413
10 Tl 0.587 0.587 0.190
11 Tl 0.060 0.060 0.642
12 Tl 0.642 0.060 0.060
13 Tl 0.190 0.587 0.587
14 Tl 0.060 0.642 0.060
15 Tl 0.587 0.190 0.587
16 Cd 0.500 0.000 0.000
17 Cd 0.000 0.500 0.000
18 Cd 0.000 0.000 0.500

## Properties
Volume, Å³/cell: 698.8
Calculated total energy, eV per formula unit: -34.38
Calculated formation energy, eV/atom: 0.022

BaCd11Cu | PBE | optimized geometry

Cell lengths 5.870, 7.769, 7.761 Å; angles 82.30, 67.78, 69.24 degrees
Fractional positions:
1 Ba 0.000 0.000 0.000
2 Cd 0.292 0.229 0.215
3 Cd 0.708 0.771 0.785
4 Cd 0.492 0.771 0.215
5 Cd 0.508 0.229 0.785
6 Cd 0.362 0.639 0.652
7 Cd 0.638 0.361 0.348
8 Cd 0.985 0.361 0.652
9 Cd 0.015 0.639 0.348
10 Cd 0.000 0.500 0.000
11 Cd 0.500 0.000 0.500
12 Cd 0.000 0.000 0.500
13 Cu 0.500 0.500 0.000

## Properties
Volume, Å³/cell: 306.4
Calculated total energy, eV per formula unit: -17.53
Calculated formation energy, eV/atom: -0.111

BaCd3Cu | PBE | optimized geometry

Cell lengths 6.273, 6.275, 7.471 Å; angles 90.00, 90.00, 66.90 degrees
Fractional positions:
1 Ba 0.044 0.246 0.052
2 Ba 0.516 0.719 0.552
3 Cd 0.147 0.350 0.552
4 Cd 0.414 0.616 0.052
5 Cd 0.555 0.208 0.802
6 Cd 0.555 0.208 0.303
7 Cd 0.005 0.758 0.302
8 Cd 0.005 0.758 0.803
9 Cu 0.896 0.098 0.552
10 Cu 0.665 0.868 0.052

## Properties
Volume, Å³/cell: 270.5
Relative energy among the computed polymorphs, meV/atom: 0
Calculated total energy, eV per formula unit: -9.63
Calculated formation energy, eV/atom: -0.174

Ba2Cd4Cu | PBE | optimized geometry

Cell lengths 5.124, 5.124, 9.721 Å; angles 74.72, 74.72, 90.00 degrees
Fractional positions:
1 Ba 0.653 0.653 0.694
2 Ba 0.347 0.347 0.306
3 Cu 0.000 0.000 0.000
4 Cd 0.857 0.857 0.287
5 Cd 0.143 0.143 0.713
6 Cd 0.000 0.500 0.000
7 Cd 0.500 0.000 0.000

## Properties
Volume, Å³/cell: 236.8
Calculated total energy, eV per formula unit: -12.45
Calculated formation energy, eV/atom: -0.121